The following is a GGA+U calculation of an optimized crystal structure of Fe2WO, from the Alexandria database.

Cell lengths 6.184, 6.184, 5.685 Å; angles 57.05, 57.05, 90.00 degrees
Fractional positions:
1 W 0.000 0.000 0.000
2 W 0.750 0.250 0.500
3 O 0.250 0.750 0.500
4 O 0.500 0.500 0.000
5 Fe 0.875 0.765 0.750
6 Fe 0.375 0.485 0.750
7 Fe 0.235 0.625 0.250
8 Fe 0.515 0.125 0.250

## Properties
The total energy is -5.427 eV per atom. The calculation puts the magnetic moment at 2.97 μB/f.u. For the density of states at the Fermi level, the calculation gives 1.76 states/eV/f.u.